Run a
# FePSeN2, optimized geometry, DFT PBE
# - Magnetization: 0.7650 μB/atom
data_FePSeN2
_cell_length_a 3.361
_cell_length_b 3.361
_cell_length_c 6.698
_cell_angle_alpha 90.00
_cell_angle_beta 90.00
_cell_angle_gamma 90.00
_space_group_name_H-M_alt 'P 4/m m m'
_space_group_IT_number 123
_space_group_name_Hall '-P 4 2'
loop_
_atom_site_label
_atom_site_fract_x
_atom_site_fract_y
_atom_site_fract_z
Fe1 0.000 0.000 0.000
P1 0.500 0.500 0.500
Se1 0.500 0.500 0.000
N1 0.000 0.500 0.500

Run b
# FePSeN2, optimized geometry, DFT PBE
# - Magnetization: 0.0000 μB/atom
data_FePSeN2
_cell_length_a 3.531
_cell_length_b 3.531
_cell_length_c 5.719
_cell_angle_alpha 90.00
_cell_angle_beta 90.00
_cell_angle_gamma 90.00
_space_group_name_H-M_alt 'P 4/m m m'
_space_group_IT_number 123
_space_group_name_Hall '-P 4 2'
loop_
_atom_site_label
_atom_site_fract_x
_atom_site_fract_y
_atom_site_fract_z
Fe1 0.000 0.000 0.000
P1 0.500 0.500 0.500
Se1 0.000 0.000 0.500
N1 0.000 0.500 0.000

Most stable: run a